w.
Entry from the Alexandria database: an optimized crystal structure of Si2HgTe (PBE). Values from VASP.

```
&SYSTEM
  ibrav = 0, nat = 4, ntyp = 3
/
ATOMIC_SPECIES
Hg 200.59 Hg.upf
Si 28.09 Si.upf
Te 127.60 Te.upf
ATOMIC_POSITIONS crystal
Hg 0.2500 0.2500 0.2500
Si 0.9957 0.9957 0.0105
Si 0.5043 0.5043 0.4895
Te 0.7500 0.7500 0.7500
CELL_PARAMETERS angstrom
-2.1687 -1.6814 2.8039
1.4510 -3.0318 2.0235
2.3185 2.6585 6.1542
```

Output
Space group: C2/m
Crystal system: monoclinic

---

x.
Entry from the Alexandria database: an optimized crystal structure of Si2HgTe (PBE). Values from VASP.

```
&SYSTEM
  ibrav = 0, nat = 4, ntyp = 3
/
ATOMIC_SPECIES
Si 28.09 Si.upf
Te 127.60 Te.upf
Hg 200.59 Hg.upf
ATOMIC_POSITIONS crystal
Si 0.2500 0.2500 0.2500
Si 0.7500 0.7500 0.7500
Te 0.0000 0.0000 0.0000
Hg 0.5000 0.5000 0.5000
CELL_PARAMETERS angstrom
0.0000 3.5262 3.5262
3.5262 0.0000 3.5262
3.5262 3.5262 0.0000
```

Output
Space group: Fm-3m
Crystal system: cubic

---

In order of decreasing stability: w, x.

---

w.
Entry from the Alexandria database: an optimized crystal structure of SiHgTe3 (PBE). Values from VASP.

```
&SYSTEM
  ibrav = 0, nat = 5, ntyp = 3
/
ATOMIC_SPECIES
Si 28.09 Si.upf
Te 127.60 Te.upf
Hg 200.59 Hg.upf
ATOMIC_POSITIONS crystal
Si 0.5000 0.5000 0.5000
Te 0.0000 0.5000 0.0000
Te 0.0000 0.0000 0.5000
Te 0.5000 0.0000 0.0000
Hg 0.0000 0.0000 0.0000
CELL_PARAMETERS angstrom
5.5758 0.0000 0.0000
0.0000 5.5758 0.0000
0.0000 0.0000 5.5758
```

Output
Space group: Pm-3m
Crystal system: cubic

---

x.
Entry from the Alexandria database: an optimized crystal structure of SiHgTe3 (PBE). Values from VASP.

```
&SYSTEM
  ibrav = 0, nat = 10, ntyp = 3
/
ATOMIC_SPECIES
Si 28.09 Si.upf
Hg 200.59 Hg.upf
Te 127.60 Te.upf
ATOMIC_POSITIONS crystal
Si 0.8336 0.8336 0.4992
Si 0.1664 0.1664 0.5008
Hg 0.4197 0.4185 0.7426
Hg 0.5803 0.5815 0.2574
Te 0.8121 0.4235 0.7359
Te 0.0289 0.8110 0.7360
Te 0.4246 0.0278 0.7359
Te 0.1879 0.5765 0.2641
Te 0.9711 0.1890 0.2640
Te 0.5754 0.9722 0.2641
CELL_PARAMETERS angstrom
7.0849 0.0004 -0.0033
3.5427 6.1351 0.0058
3.5392 2.0521 7.1319
```

Output
Space group: P-1
Crystal system: triclinic

---

In order of decreasing stability: x, w.